Model w:
Ce2YTl4 after structural relaxation, computed with GGA-PBE.

Cell and atoms, written as CIF:
```
data_Ce2YTl4
_chemical_formula_sum 'Ce2 Y1 Tl4'
_space_group_name_H-M_alt 'P 1'
_space_group_IT_number 1
_cell_length_a 5.226
_cell_length_b 5.226
_cell_length_c 8.667
_cell_angle_alpha 107.55
_cell_angle_beta 107.55
_cell_angle_gamma 90.00
loop_
_space_group_symop_operation_xyz
'x,y,z'
loop_
_atom_site_label
_atom_site_fract_x
_atom_site_fract_y
_atom_site_fract_z
Ce1 0.749 0.749 0.499
Ce2 0.251 0.251 0.501
Y1 0.000 0.000 0.000
Tl1 0.389 0.889 0.778
Tl2 0.889 0.389 0.778
Tl3 0.611 0.111 0.222
Tl4 0.111 0.611 0.222
```

Model x:
Ce2YTl4 after structural relaxation, computed with GGA-PBE.

Cell and atoms, written as CIF:
```
data_Ce2YTl4
_chemical_formula_sum 'Ce2 Y1 Tl4'
_space_group_name_H-M_alt 'P 1'
_space_group_IT_number 1
_cell_length_a 5.073
_cell_length_b 6.456
_cell_length_c 7.640
_cell_angle_alpha 114.99
_cell_angle_beta 90.00
_cell_angle_gamma 90.00
loop_
_space_group_symop_operation_xyz
'x,y,z'
loop_
_atom_site_label
_atom_site_fract_x
_atom_site_fract_y
_atom_site_fract_z
Ce1 0.500 0.101 0.201
Ce2 0.500 0.899 0.799
Y1 0.000 0.500 0.000
Tl1 0.500 0.631 0.262
Tl2 0.000 0.756 0.513
Tl3 0.500 0.369 0.738
Tl4 0.000 0.244 0.487
```

Energies in meV per atom, measured from the most stable structure: model w 0; model x 263.

Model w:
Ce4TlZn2 after structural relaxation, computed with GGA-PBE.

Cell and atoms, written as CIF:
```
data_Ce4TlZn2
_chemical_formula_sum 'Ce4 Tl1 Zn2'
_space_group_name_H-M_alt 'P 1'
_space_group_IT_number 1
_cell_length_a 5.232
_cell_length_b 5.232
_cell_length_c 7.780
_cell_angle_alpha 70.35
_cell_angle_beta 70.35
_cell_angle_gamma 60.00
loop_
_space_group_symop_operation_xyz
'x,y,z'
loop_
_atom_site_label
_atom_site_fract_x
_atom_site_fract_y
_atom_site_fract_z
Ce1 0.419 0.419 0.744
Ce2 0.265 0.265 0.204
Ce3 0.735 0.735 0.796
Ce4 0.581 0.581 0.256
Tl1 0.000 0.000 0.000
Zn1 0.131 0.131 0.606
Zn2 0.869 0.869 0.394
```

Model x:
Ce4TlZn2 after structural relaxation, computed with GGA-PBE.

Cell and atoms, written as CIF:
```
data_Ce4TlZn2
_chemical_formula_sum 'Ce4 Tl1 Zn2'
_space_group_name_H-M_alt 'P 1'
_space_group_IT_number 1
_cell_length_a 4.265
_cell_length_b 5.764
_cell_length_c 12.581
_cell_angle_alpha 41.28
_cell_angle_beta 90.00
_cell_angle_gamma 111.72
loop_
_space_group_symop_operation_xyz
'x,y,z'
loop_
_atom_site_label
_atom_site_fract_x
_atom_site_fract_y
_atom_site_fract_z
Ce1 0.926 0.852 0.196
Ce2 0.074 0.148 0.804
Ce3 0.545 0.090 0.677
Ce4 0.455 0.910 0.323
Tl1 0.000 0.000 0.500
Zn1 0.695 0.390 0.904
Zn2 0.305 0.610 0.096
```

Energies in meV per atom, measured from the most stable structure: model w 195; model x 0.

Model w:
Ce4TlZn after structural relaxation, computed with GGA-PBE.

Cell and atoms, written as CIF:
```
data_Ce4TlZn
_chemical_formula_sum 'Ce4 Tl1 Zn1'
_space_group_name_H-M_alt 'P 1'
_space_group_IT_number 1
_cell_length_a 3.176
_cell_length_b 6.043
_cell_length_c 8.465
_cell_angle_alpha 110.91
_cell_angle_beta 100.80
_cell_angle_gamma 90.00
loop_
_space_group_symop_operation_xyz
'x,y,z'
loop_
_atom_site_label
_atom_site_fract_x
_atom_site_fract_y
_atom_site_fract_z
Ce1 0.280 0.697 0.394
Ce2 0.466 0.110 0.765
Ce3 0.466 0.654 0.765
Ce4 0.621 0.538 0.076
Tl1 0.792 0.209 0.417
Zn1 0.125 0.041 0.083
```

Model x:
Ce4TlZn after structural relaxation, computed with GGA-PBE.

Cell and atoms, written as CIF:
```
data_Ce4TlZn
_chemical_formula_sum 'Ce4 Tl1 Zn1'
_space_group_name_H-M_alt 'P 1'
_space_group_IT_number 1
_cell_length_a 5.106
_cell_length_b 6.091
_cell_length_c 6.091
_cell_angle_alpha 99.18
_cell_angle_beta 65.22
_cell_angle_gamma 65.22
loop_
_space_group_symop_operation_xyz
'x,y,z'
loop_
_atom_site_label
_atom_site_fract_x
_atom_site_fract_y
_atom_site_fract_z
Ce1 0.740 0.586 0.934
Ce2 0.740 0.934 0.586
Ce3 0.260 0.414 0.066
Ce4 0.260 0.066 0.414
Tl1 0.500 0.500 0.500
Zn1 0.000 0.000 0.000
```

Energies in meV per atom, measured from the most stable structure: model w 107; model x 0.

Model w:
Ce2ZrTl after structural relaxation, computed with GGA-PBE.

Cell and atoms, written as CIF:
```
data_Ce2ZrTl
_chemical_formula_sum 'Ce2 Zr1 Tl1'
_space_group_name_H-M_alt 'P 1'
_space_group_IT_number 1
_cell_length_a 5.356
_cell_length_b 5.356
_cell_length_c 5.356
_cell_angle_alpha 60.00
_cell_angle_beta 60.00
_cell_angle_gamma 60.00
loop_
_space_group_symop_operation_xyz
'x,y,z'
loop_
_atom_site_label
_atom_site_fract_x
_atom_site_fract_y
_atom_site_fract_z
Tl1 0.500 0.500 0.500
Zr1 0.000 0.000 0.000
Ce1 0.250 0.250 0.250
Ce2 0.750 0.750 0.750
```

Model x:
Ce2ZrTl after structural relaxation, computed with GGA-PBE.

Cell and atoms, written as CIF:
```
data_Ce2ZrTl
_chemical_formula_sum 'Ce2 Zr1 Tl1'
_space_group_name_H-M_alt 'P 1'
_space_group_IT_number 1
_cell_length_a 5.070
_cell_length_b 4.471
_cell_length_c 4.471
_cell_angle_alpha 90.00
_cell_angle_beta 90.00
_cell_angle_gamma 90.00
loop_
_space_group_symop_operation_xyz
'x,y,z'
loop_
_atom_site_label
_atom_site_fract_x
_atom_site_fract_y
_atom_site_fract_z
Tl1 0.500 0.000 0.000
Zr1 0.500 0.500 0.500
Ce1 0.000 0.000 0.500
Ce2 0.000 0.500 0.000
```

Model y:
Ce2ZrTl after structural relaxation, computed with GGA-PBE.

Cell and atoms, written as CIF:
```
data_Ce2ZrTl
_chemical_formula_sum 'Ce2 Zr1 Tl1'
_space_group_name_H-M_alt 'P 1'
_space_group_IT_number 1
_cell_length_a 3.192
_cell_length_b 3.192
_cell_length_c 11.941
_cell_angle_alpha 82.32
_cell_angle_beta 82.32
_cell_angle_gamma 60.00
loop_
_space_group_symop_operation_xyz
'x,y,z'
loop_
_atom_site_label
_atom_site_fract_x
_atom_site_fract_y
_atom_site_fract_z
Tl1 0.500 0.500 0.500
Zr1 0.000 0.000 0.000
Ce1 0.084 0.084 0.747
Ce2 0.916 0.916 0.253
```

Model z:
Ce2ZrTl after structural relaxation, computed with GGA-PBE.

Cell and atoms, written as CIF:
```
data_Ce2ZrTl
_chemical_formula_sum 'Ce4 Zr2 Tl2'
_space_group_name_H-M_alt 'P 1'
_space_group_IT_number 1
_cell_length_a 4.272
_cell_length_b 4.249
_cell_length_c 11.381
_cell_angle_alpha 90.00
_cell_angle_beta 99.42
_cell_angle_gamma 90.00
loop_
_space_group_symop_operation_xyz
'x,y,z'
loop_
_atom_site_label
_atom_site_fract_x
_atom_site_fract_y
_atom_site_fract_z
Ce1 0.597 0.250 0.118
Ce2 0.403 0.750 0.882
Ce3 0.012 0.750 0.123
Ce4 0.988 0.250 0.877
Zr1 0.699 0.750 0.397
Zr2 0.301 0.250 0.603
Tl1 0.182 0.250 0.342
Tl2 0.818 0.750 0.658
```

Energies in meV per atom, measured from the most stable structure: model w 183; model x 0; model y 257; model z 119.

Model w:
CeZrTl after structural relaxation, computed with GGA-PBE.

Cell and atoms, written as CIF:
```
data_CeZrTl
_chemical_formula_sum 'Ce1 Zr1 Tl1'
_space_group_name_H-M_alt 'P 1'
_space_group_IT_number 1
_cell_length_a 3.225
_cell_length_b 3.225
_cell_length_c 7.734
_cell_angle_alpha 102.03
_cell_angle_beta 102.03
_cell_angle_gamma 90.00
loop_
_space_group_symop_operation_xyz
'x,y,z'
loop_
_atom_site_label
_atom_site_fract_x
_atom_site_fract_y
_atom_site_fract_z
Tl1 0.006 0.006 0.012
Zr1 0.663 0.663 0.327
Ce1 0.331 0.331 0.662
```

Model x:
CeZrTl after structural relaxation, computed with GGA-PBE.

Cell and atoms, written as CIF:
```
data_CeZrTl
_chemical_formula_sum 'Ce1 Zr1 Tl1'
_space_group_name_H-M_alt 'P 1'
_space_group_IT_number 1
_cell_length_a 3.203
_cell_length_b 5.184
_cell_length_c 5.184
_cell_angle_alpha 120.00
_cell_angle_beta 90.00
_cell_angle_gamma 90.00
loop_
_space_group_symop_operation_xyz
'x,y,z'
loop_
_atom_site_label
_atom_site_fract_x
_atom_site_fract_y
_atom_site_fract_z
Tl1 0.667 0.333 0.667
Zr1 0.167 0.667 0.333
Ce1 0.166 0.000 0.000
```

Energies in meV per atom, measured from the most stable structure: model w 0; model x 206.